The following is a PBE calculation of ScTiIr after structural relaxation, from Alexandria via LeMat-Bulk.

a b c (Å): 6.585 7.904 7.904
angles (deg): 67.25 65.38 65.38
Sites, in units of the cell vectors:
Sc 0.176 0.038 0.538
Sc 0.753 0.962 0.462
Sc 0.330 0.750 0.250
Sc 0.330 0.250 0.750
Sc 0.753 0.462 0.962
Sc 0.176 0.538 0.038
Ti 0.004 0.000 0.000
Ti 0.004 0.500 0.500
Ti 0.754 0.375 0.374
Ti 0.503 0.625 0.626
Ti 0.503 0.126 0.125
Ti 0.754 0.874 0.875
Ir 0.753 0.250 0.750
Ir 0.753 0.750 0.250
Ir 0.087 0.167 0.166
Ir 0.420 0.833 0.834
Ir 0.420 0.334 0.333
Ir 0.087 0.666 0.667

The space group is P-62m (189). For the energy above the lowest structure with this stoichiometry, the calculation gives 0.0000 eV per atom. For the total energy, the calculation gives -8.4335 eV per atom. Its energy of formation is -0.74 eV/atom. The crystal system is hexagonal. The calculation puts the total magnetization at 0.0000 μB per atom.